Record 1
Below is a relaxed La6Tl2FeCo crystal, with properties calculated at the PBE level.

Calculated values
Space group = No. 107
E_form = -0.221 eV/atom

Cell lengths 7.4941, 7.4941, 7.5145 Å; angles 119.88, 119.87, 90.03 degrees
Element x y z (fractional)
Tl 0.7498 0.2503 0.4997
Tl 0.2498 0.7504 0.4997
La 0.2491 0.2497 0.4984
La 0.7468 0.7476 0.9970
La 0.2501 0.2504 0.9969
La 0.2503 0.7480 0.9980
La 0.7463 0.7466 0.4926
La 0.7477 0.2509 0.9977
Fe 0.5117 0.5121 0.0231
Co 0.9974 0.9980 0.9948


Record 2
Below is a relaxed NdEr6Sc3 crystal, with properties calculated at the PBE level.

Calculated values
Space group = No. 12
E_form = 0.030 eV/atom
Excess energy over the best structure of this formula in the dataset = 0 meV per atom

Cell lengths 3.4871, 12.3497, 16.5118 Å; angles 115.12, 65.04, 98.12 degrees
Element x y z (fractional)
Sc 0.7287 0.8490 0.7231
Sc 0.6820 0.5513 0.6722
Sc 0.2713 0.1510 0.2769
Sc 0.6249 0.9243 0.2933
Sc 0.3751 0.0757 0.7067
Sc 0.3180 0.4487 0.3278
Er 0.9281 0.0471 0.9226
Er 0.4845 0.3504 0.4704
Er 0.5155 0.6496 0.5296
Er 0.8338 0.1139 0.4865
Er 0.0348 0.3160 0.6869
Er 0.9652 0.6840 0.3131
Er 0.2384 0.5195 0.8859
Er 0.1067 0.2485 0.1334
Er 0.8933 0.7515 0.8666
Er 0.1662 0.8861 0.5135
Er 0.0719 0.9529 0.0774
Er 0.7616 0.4805 0.1141
Nd 0.4185 0.7209 0.0960
Nd 0.5815 0.2791 0.9040


Record 3
Below is a relaxed MnOsPb2 crystal, with properties calculated at the PBE level.

Calculated values
Space group = No. 225
E_form = 1.025 eV/atom
Excess energy over the best structure of this formula in the dataset = 648 meV per atom

Cell lengths 4.6961, 4.6961, 4.6961 Å; angles 60.00, 60.00, 60.00 degrees
Element x y z (fractional)
Os 0.5000 0.5000 0.5000
Mn 0.0000 0.0000 0.0000
Pb 0.7500 0.7500 0.7500
Pb 0.2500 0.2500 0.2500


Question: Number 2 is which compound?
Answer: NdEr6Sc3


Question: Which formula does entry 2 have?
Answer: NdEr6Sc3


Question: What is the formula in the first record?
Answer: La6Tl2FeCo